A relaxed structure of NbCo2Ni, computed with PBE.

Final energy in eV/cell: -115.342
E above lowest polymorph in meV per atom: 507
Volume in Å³ per atom: 13.517
ΔE_f in eV/atom: 0.31

The structure in CIF format:
```
data_NbCo2Ni
_cell_length_a 3.585
_cell_length_b 3.585
_cell_length_c 16.827
_cell_angle_alpha 90.00
_cell_angle_beta 90.00
_cell_angle_gamma 90.00
_symmetry_space_group_name_H-M 'I -4 2 d'
_symmetry_Int_Tables_number 122
_symmetry_space_group_name_Hall 'I -4 2bw'
loop_
_atom_site_label
_atom_site_fract_x
_atom_site_fract_y
_atom_site_fract_z
_atom_site_occupancy
Nb1 0.000 0.000 0.000 1
Co1 0.202 0.250 0.625 1
Ni1 0.000 0.000 0.500 1
```